# Tl2SiP

A relaxed Tl2SiP crystal (GGA-PBE, Alexandria via LeMat-Bulk).

abc: 5.3798 5.3798 5.3798
angles: 128.10 128.10 76.46
With the nearest neighbours (Å) after each atom.
Atoms (fractional coordinates):
Tl1 0.0000 0.0000 0.0000  4 Tl 3.16, 4 P 3.16, 4 Si 3.33
Tl2 0.7500 0.2500 0.5000  4 Tl 3.16, 4 Si 3.16, 4 P 3.33
Si1 0.5000 0.5000 0.0000  8 Tl 3.16-3.33, 4 P 3.16
P1 0.2500 0.7500 0.5000  8 Tl 3.16-3.33, 4 Si 3.16

Computed properties:
SG: I-4m2 (119)
Crystal system: tetragonal
Excess energy over the best structure of this formula in the dataset in meV per atom: 573